(1)
First-principles (GGA-PBE) data for a relaxed structure of CsFeSnTe3, as listed in OQMD via LeMat-Bulk.

Lattice parameters (Å, degrees): 4.4780 16.9880 12.1052 90.00 90.00 90.00
Space group Cmcm (No. 63)
Unique sites:
Cs 0.0000 0.2383 0.2500 [4 per cell]
Fe 0.0000 0.0459 0.7500 [4 per cell]
Sn 0.0000 0.5000 0.0000 [4 per cell]
Te 0.0000 0.1218 0.5674 [8 per cell]
Te 0.0000 0.4565 0.7500 [4 per cell]

Properties
Magnetic moment   0.76 μB per atom


(2)
First-principles (GGA-PBE) data for a relaxed structure of Ta2As, as listed in OQMD via LeMat-Bulk.

Lattice parameters (Å, degrees): 11.5466 11.5466 11.5466 90.00 90.00 90.00
Space group Fd-3m (No. 227, origin choice 2)
Unique sites:
Ta 0.0000 0.0000 0.0000 [16 per cell]
As 0.1250 0.1250 0.1250 [8 per cell]

Properties
Magnetic moment   2.03 μB per atom


(3)
First-principles (GGA-PBE) data for a relaxed structure of LaGa3Fe, as listed in OQMD via LeMat-Bulk.

Lattice parameters (Å, degrees): 4.2921 4.2921 10.5112 90.00 90.00 90.00
Space group I4mm (No. 107)
Unique sites:
La 0.0000 0.0000 0.0000 [2 per cell]
Ga 0.0000 0.0000 0.4052 [2 per cell]
Ga 0.0000 0.5000 0.2465 [4 per cell]
Fe 0.0000 0.0000 0.6325 [2 per cell]

Properties
Magnetic moment   0.42 μB per atom


(4)
First-principles (GGA-PBE) data for a relaxed structure of Tb4ErBi5, as listed in OQMD via LeMat-Bulk.

Lattice parameters (Å, degrees): 4.4700 4.4700 31.6030 90.00 90.00 90.00
Space group I4/mmm (No. 139)
Unique sites:
Tb 0.0000 0.0000 0.0999 [4 per cell]
Tb 0.0000 0.0000 0.3003 [4 per cell]
Er 0.0000 0.0000 0.5000 [2 per cell]
Bi 0.0000 0.0000 0.0000 [2 per cell]
Bi 0.0000 0.0000 0.2000 [4 per cell]
Bi 0.0000 0.0000 0.4007 [4 per cell]

Properties
Magnetic moment   0.00 μB per atom


(5)
First-principles (GGA-PBE) data for a relaxed structure of Ba2ZnSn3Ir2, as listed in OQMD via LeMat-Bulk.

Lattice parameters (Å, degrees): 12.2718 4.4449 7.7355 90.00 90.17 90.00
Space group Cm (No. 8)
Unique sites:
Ba 0.0000 0.0000 0.0000 [2 per cell]
Ba 0.1089 0.0000 0.5122 [2 per cell]
Zn 0.2396 0.5000 0.8113 [2 per cell]
Sn 0.2161 0.5000 0.1903 [2 per cell]
Sn 0.3802 0.0000 0.7021 [2 per cell]
Sn 0.3882 0.0000 0.3063 [2 per cell]
Ir 0.2662 0.0000 0.0034 [2 per cell]
Ir 0.3302 0.5000 0.4995 [2 per cell]

Properties
Magnetic moment   0.00 μB per atom


(6)
First-principles (GGA-PBE) data for a relaxed structure of Ac6TcO12, as listed in OQMD via LeMat-Bulk.

Lattice parameters (Å, degrees): 10.5783 10.5783 10.1954 90.00 90.00 120.00
Space group R-3 (No. 148, hexagonal axes)
Unique sites:
Ac 0.0502 0.7938 0.1511 [18 per cell]
Tc 0.0000 0.0000 0.5000 [3 per cell]
O 0.0397 0.8665 0.3955 [18 per cell]
O 0.0412 0.8129 0.9059 [18 per cell]

Properties
Magnetic moment   0.05 μB per atom


(7)
First-principles (GGA-PBE) data for a relaxed structure of BeCuSiIr, as listed in OQMD via LeMat-Bulk.

Lattice parameters (Å, degrees): 5.7266 5.7266 5.7266 90.00 90.00 90.00
Space group F-43m (No. 216)
Unique sites:
Be 0.0000 0.0000 0.0000 [4 per cell]
Cu 0.2500 0.2500 0.7500 [4 per cell]
Si 0.0000 0.0000 0.5000 [4 per cell]
Ir 0.2500 0.2500 0.2500 [4 per cell]

Properties
Magnetic moment   0.00 μB per atom
Relative energy among the computed polymorphs   0.00 eV/f.u.


(8)
First-principles (GGA-PBE) data for a relaxed structure of HoNpHg, as listed in OQMD via LeMat-Bulk.

Lattice parameters (Å, degrees): 7.2346 7.2346 7.2346 90.00 90.00 90.00
Space group F-43m (No. 216)
Unique sites:
Ho 0.0000 0.0000 0.0000 [4 per cell]
Np 0.0000 0.0000 0.5000 [4 per cell]
Hg 0.2500 0.2500 0.2500 [4 per cell]

Properties
Magnetic moment   1.76 μB per atom
Relative energy among the computed polymorphs   0.00 eV/f.u.
ΔH_f (0 K)   0.442 eV per atom


(9)
First-principles (GGA-PBE) data for a relaxed structure of AlMo2N, as listed in OQMD via LeMat-Bulk.

Lattice parameters (Å, degrees): 2.8502 4.9618 14.6012 90.00 90.08 90.00
Space group C2/c (No. 15)
Unique sites:
Al 0.0000 0.1661 0.2500 [4 per cell]
Mo 0.0022 0.1685 0.5962 [8 per cell]
N 0.0000 0.5000 0.0000 [4 per cell]

Properties
Magnetic moment   0.01 μB per atom


(10)
First-principles (GGA-PBE) data for a relaxed structure of LuBeCo, as listed in OQMD via LeMat-Bulk.

Lattice parameters (Å, degrees): 6.0272 6.0272 6.0272 90.00 90.00 90.00
Space group F-43m (No. 216)
Unique sites:
Lu 0.0000 0.0000 0.0000 [4 per cell]
Be 0.2500 0.2500 0.7500 [4 per cell]
Co 0.2500 0.2500 0.2500 [4 per cell]

Properties
Magnetic moment   0.00 μB per atom


(11)
First-principles (GGA-PBE) data for a relaxed structure of Lu8Pt, as listed in OQMD via LeMat-Bulk.

Lattice parameters (Å, degrees): 8.9097 8.9097 3.5791 90.00 90.00 120.00
Space group P-62m (No. 189)
Unique sites:
Lu 0.0000 0.2483 0.0000 [3 per cell]
Lu 0.0000 0.6135 0.5000 [3 per cell]
Lu 0.3333 0.6667 0.0000 [2 per cell]
Pt 0.0000 0.0000 0.5000 [1 per cell]

Properties
Magnetic moment   0.06 μB per atom
ΔH_f (0 K)   -0.314 eV per atom


(12)
First-principles (GGA-PBE) data for a relaxed structure of Li3Fe, as listed in OQMD via LeMat-Bulk.

Lattice parameters (Å, degrees): 5.4739 5.4739 4.4706 90.00 90.00 120.00
Space group P6_3/mmc (No. 194)
Unique sites:
Li 0.1715 0.3430 0.2500 [6 per cell]
Fe 0.3333 0.6667 0.7500 [2 per cell]

Properties
Magnetic moment   0.60 μB per atom


(13)
First-principles (GGA-PBE) data for a relaxed structure of Be2Tc2Ge, as listed in OQMD via LeMat-Bulk.

Lattice parameters (Å, degrees): 5.9557 5.9557 3.2042 90.00 90.00 90.00
Space group P4/mbm (No. 127)
Unique sites:
Be 0.1193 0.3807 0.0000 [4 per cell]
Tc 0.1772 0.6772 0.5000 [4 per cell]
Ge 0.0000 0.0000 0.0000 [2 per cell]

Properties
Magnetic moment   0.00 μB per atom


(14)
First-principles (GGA-PBE) data for a relaxed structure of Rb4TlCd2Pb, as listed in OQMD via LeMat-Bulk.

Lattice parameters (Å, degrees): 5.9360 5.9360 8.5004 90.00 90.00 90.00
Space group P-4m2 (No. 115)
Unique sites:
Rb 0.0000 0.0000 0.0000 [1 per cell]
Rb 0.0000 0.5000 0.2475 [2 per cell]
Rb 0.5000 0.5000 0.5000 [1 per cell]
Tl 0.5000 0.5000 0.0000 [1 per cell]
Cd 0.0000 0.5000 0.7465 [2 per cell]
Pb 0.0000 0.0000 0.5000 [1 per cell]


(15)
First-principles (GGA-PBE) data for a relaxed structure of Cu5Ag4, as listed in OQMD via LeMat-Bulk.

Lattice parameters (Å, degrees): 2.7804 2.7804 19.7672 90.00 90.00 120.00
Space group P-3m1 (No. 164)
Unique sites:
Cu 0.0000 0.0000 0.0000 [1 per cell]
Cu 0.3333 0.6667 0.1980 [2 per cell]
Cu 0.3333 0.6667 0.9006 [2 per cell]
Ag 0.0000 0.0000 0.3107 [2 per cell]
Ag 0.3333 0.6667 0.5629 [2 per cell]

Properties
Relative energy among the computed polymorphs   0.45 eV/f.u.
ΔH_f (0 K)   0.090 eV per atom


(16)
First-principles (GGA-PBE) data for a relaxed structure of NaScReTc, as listed in OQMD via LeMat-Bulk.

Lattice parameters (Å, degrees): 6.4323 6.4323 6.4323 90.00 90.00 90.00
Space group F-43m (No. 216)
Unique sites:
Na 0.0000 0.0000 0.0000 [4 per cell]
Sc 0.2500 0.2500 0.2500 [4 per cell]
Re 0.0000 0.0000 0.5000 [4 per cell]
Tc 0.2500 0.2500 0.7500 [4 per cell]

Properties
Magnetic moment   0.00 μB per atom
Relative energy among the computed polymorphs   0.00 eV/f.u.


(17)
First-principles (GGA-PBE) data for a relaxed structure of Dy2HoAl3Si2Ir, as listed in OQMD via LeMat-Bulk.

Lattice parameters (Å, degrees): 4.2163 11.9525 6.9037 90.00 90.00 90.00
Space group Amm2 (No. 38)
Unique sites:
Dy 0.0000 0.2080 0.0000 [4 per cell]
Ho 0.0000 0.0000 0.6236 [2 per cell]
Al 0.5000 0.0000 0.9747 [2 per cell]
Al 0.5000 0.1165 0.3249 [4 per cell]
Si 0.5000 0.1663 0.7080 [4 per cell]
Ir 0.0000 0.0000 0.2090 [2 per cell]

Properties
Magnetic moment   0.00 μB per atom


(18)
First-principles (GGA-PBE) data for a relaxed structure of Np2Co17, as listed in OQMD via LeMat-Bulk.

Lattice parameters (Å, degrees): 8.1776 8.1776 8.0220 90.00 90.00 120.00
Space group P6_3/mmc (No. 194)
Unique sites:
Np 0.0000 0.0000 0.2500 [2 per cell]
Np 0.3333 0.6667 0.2500 [2 per cell]
Co 0.0000 0.5000 0.0000 [6 per cell]
Co 0.0427 0.3689 0.7500 [12 per cell]
Co 0.1661 0.3321 0.0253 [12 per cell]
Co 0.3333 0.6667 0.6033 [4 per cell]

Properties
Magnetic moment   1.14 μB per atom
ΔH_f (0 K)   0.020 eV per atom


(19)
First-principles (GGA-PBE) data for a relaxed structure of NdSiNO, as listed in OQMD via LeMat-Bulk.

Lattice parameters (Å, degrees): 5.4139 8.2630 5.0017 90.00 90.00 90.00
Space group Pca2_1 (No. 29)
Unique sites:
Nd 0.0062 0.1411 0.0000 [4 per cell]
Si 0.0896 0.5852 0.9557 [4 per cell]
N 0.1207 0.5469 0.6075 [4 per cell]
O 0.0150 0.7736 0.9972 [4 per cell]

Properties
Magnetic moment   0.00 μB per atom
Relative energy among the computed polymorphs   0.67 eV/f.u.


(20)
First-principles (GGA-PBE) data for a relaxed structure of RbSmSnTe3, as listed in OQMD via LeMat-Bulk.

Lattice parameters (Å, degrees): 4.4734 17.0416 12.9322 90.00 90.00 90.00
Space group Cmcm (No. 63)
Unique sites:
Rb 0.0000 0.2124 0.2500 [4 per cell]
Sm 0.0000 0.5000 0.0000 [4 per cell]
Sn 0.0000 0.0957 0.7500 [4 per cell]
Te 0.0000 0.1285 0.5129 [8 per cell]
Te 0.0000 0.4793 0.7500 [4 per cell]

Properties
Magnetic moment   0.00 μB per atom
Relative energy among the computed polymorphs   0.72 eV/f.u.


Record-wise raw total energy values, in eV per atom: -4.115 -6.320 -4.843 -5.215 -4.816 -7.924 -5.733 -5.439 -8.638 -4.240 -5.008 -3.103 -6.848 -1.464 -3.230 -7.159 -5.834 -7.683 -7.395 -4.076